Entry 1:
CsK4Hg2 GGA-PBE optimized geometry; offset from the most stable computed form = 0.000 eV per formula unit; density of states at the Fermi level = 7.957 states/eV/cell; DFT formation energy = -0.14 eV per atom
1.0
7.8982 0.0000 0.0000
0.0000 9.6836 -3.7683
0.0000 -0.0704 9.8178
K Cs Hg
8 2 4
Direct
0.7500 0.0176 0.3920
0.2500 0.2658 0.3484
0.2500 0.9824 0.6080
0.9984 0.4233 0.7607
0.0016 0.5767 0.2393
0.5016 0.4233 0.7607
0.4984 0.5767 0.2393
0.7500 0.7342 0.6516
0.7500 0.1457 0.9987
0.2500 0.8543 0.0013
0.7500 0.3752 0.4204
0.7500 0.7390 0.0228
0.2500 0.2610 0.9772
0.2500 0.6248 0.5796

***

Entry 2:
Cs8KHg6 GGA-PBE optimized geometry; density of states at the Fermi level = 12.397 states/eV/cell; DFT formation energy = -0.16 eV per atom
1.0
1.3602 7.7198 6.8305
-4.8083 -1.3110 9.1248
6.2678 -2.2529 7.9837
Cs Hg K
8 6 1
Direct
0.7820 0.4407 0.1124
0.6665 0.6665 0.6665
0.4407 0.1124 0.7820
0.3335 0.3335 0.3335
0.2180 0.5593 0.8876
0.5593 0.8876 0.2180
0.1124 0.7820 0.4407
0.8876 0.2180 0.5593
0.6236 0.2726 0.9484
0.7274 0.0516 0.3764
0.9484 0.6236 0.2726
0.3764 0.7274 0.0516
0.0516 0.3764 0.7274
0.2726 0.9484 0.6236
0.0000 0.0000 0.0000

***

Entry 3:
Cs3K2Hg2 GGA-PBE optimized geometry; density of states at the Fermi level = 4.238 states/eV/cell; DFT formation energy = -0.14 eV per atom
1.0
-4.6474 -2.0556 0.1957
5.1346 -4.8101 5.3359
-3.7674 9.0147 5.2211
Cs K Hg
3 2 2
Direct
0.5000 0.0000 0.0000
0.6221 0.2442 0.4397
0.3779 0.7558 0.5603
0.1744 0.3489 0.8367
0.8256 0.6511 0.1633
0.1820 0.3640 0.2062
0.8180 0.6360 0.7938

***

Entry 4:
Cs2KHg4 GGA-PBE optimized geometry; offset from the most stable computed form = 0.899 eV per formula unit; density of states at the Fermi level = 6.519 states/eV/cell; DFT formation energy = -0.09 eV per atom
1.0
-0.4620 5.6422 2.8455
0.4524 -2.8163 5.6576
9.7693 2.3677 3.9453
K Cs Hg
1 2 4
Direct
0.0000 0.0000 0.0000
0.3695 0.3695 0.2610
0.6305 0.6305 0.7390
0.0000 0.5000 0.0000
0.8276 0.8276 0.3448
0.1724 0.1724 0.6552
0.5000 0.0000 0.0000

***

Entry 5:
CsKHg GGA-PBE optimized geometry; offset from the most stable computed form = 0.000 eV per formula unit; density of states at the Fermi level = 10.334 states/eV/cell; DFT formation energy = -0.17 eV per atom
1.0
8.4356 0.0000 0.0000
-4.2178 8.3896 0.0000
0.0000 0.0000 9.8835
Hg K Cs
4 4 4
Direct
0.0883 0.1765 0.9541
0.5883 0.1765 0.5459
0.4117 0.8235 0.4541
0.9117 0.8235 0.0459
0.7923 0.0845 0.2500
0.7077 0.9155 0.7500
0.2923 0.0845 0.2500
0.2077 0.9155 0.7500
0.1945 0.3889 0.6029
0.6945 0.3889 0.8971
0.3055 0.6111 0.1029
0.8055 0.6111 0.3971

***

Entry 6:
CsK6Hg4 GGA-PBE optimized geometry; density of states at the Fermi level = 6.551 states/eV/cell; DFT formation energy = -0.17 eV per atom
1.0
7.9473 -0.0707 4.3849
-2.3504 7.5920 4.3851
0.0907 0.1218 9.2412
K Hg Cs
6 4 1
Direct
0.0994 0.0994 0.4300
0.5285 0.9006 0.5703
0.0001 0.5007 0.9997
0.4707 0.4707 0.4296
0.9006 0.5285 0.5703
0.5007 0.0001 0.9997
0.5980 0.2846 0.1178
0.4031 0.4031 0.8821
0.7145 0.7145 0.8815
0.2846 0.5980 0.1178
0.0000 0.0000 0.0011

***

Entry 7:
CsK4Hg5 GGA-PBE optimized geometry; density of states at the Fermi level = 6.585 states/eV/cell; DFT formation energy = -0.21 eV per atom
1.0
-1.1628 1.2219 4.1167
-1.8420 -3.9946 0.6654
17.6414 -6.9608 7.0491
Hg K Cs
5 4 1
Direct
0.5000 0.5000 0.5000
0.5000 0.5000 0.8713
0.5000 0.5000 0.1287
0.5000 0.5000 0.7063
0.5000 0.5000 0.2937
0.0000 0.0000 0.7919
0.0000 0.0000 0.5988
0.0000 0.0000 0.4012
0.0000 0.0000 0.2081
0.0000 0.0000 0.0000

***

Entry 8:
Cs4K5Hg3 GGA-PBE optimized geometry; density of states at the Fermi level = 7.001 states/eV/cell; DFT formation energy = -0.10 eV per atom
1.0
0.1948 -10.4077 -5.0503
6.7820 -8.2714 -4.4105
1.7483 -7.5495 7.2082
Cs Hg K
4 3 5
Direct
0.8733 0.8733 0.9717
0.8182 0.8182 0.4455
0.1267 0.1267 0.0283
0.1818 0.1818 0.5545
0.2839 0.2839 0.1699
0.7161 0.7161 0.8301
0.5000 0.5000 0.5000
0.4478 0.4478 0.2211
0.6618 0.6618 0.2457
0.0000 0.0000 0.5000
0.5522 0.5522 0.7789
0.3382 0.3382 0.7543

***

Entry 9:
Cs2KHg4 GGA-PBE optimized geometry; offset from the most stable computed form = 0.000 eV per formula unit; density of states at the Fermi level = 5.827 states/eV/cell; DFT formation energy = -0.22 eV per atom
1.0
6.5336 0.0787 -0.2131
-0.2201 9.3990 -3.2759
0.3713 -1.4965 10.8119
K Hg Cs
2 8 4
Direct
0.2500 0.8670 0.0000
0.7500 0.1330 0.0000
0.0000 0.8474 0.6948
0.7500 0.6824 0.8410
0.2500 0.1585 0.8410
0.7500 0.8415 0.1590
0.5000 0.1526 0.3052
0.5000 0.8474 0.6948
0.0000 0.1526 0.3052
0.2500 0.3176 0.1590
0.7501 0.1782 0.6417
0.2501 0.4635 0.6417
0.2499 0.8218 0.3583
0.7499 0.5365 0.3583

***

Entry 10:
CsK5Hg6 GGA-PBE optimized geometry; density of states at the Fermi level = 7.311 states/eV/cell; DFT formation energy = -0.22 eV per atom
1.0
6.5208 0.0035 -1.0868
-0.0031 8.3302 -0.0011
-1.0174 0.0003 9.2522
K Hg Cs
5 6 1
Direct
0.4232 0.5000 0.7017
0.3151 0.0000 0.6381
0.6849 0.0000 0.3619
0.5768 0.5000 0.2983
0.0000 0.5000 0.0000
0.0920 0.6892 0.3624
0.0921 0.3108 0.3624
0.9079 0.6892 0.6376
0.5000 0.7961 0.0000
0.5000 0.2039 0.0000
0.9080 0.3108 0.6376
0.0000 0.0000 0.0000

***

Q: Which of these has the lowest density of states at the Fermi level?
A: Cs3K2Hg2